VASP calculation (PBE+U) on an optimized crystal structure of Mo3NO.

Cell lengths 4.0959, 4.0959, 4.0959 Å; angles 90.00, 90.00, 90.00 degrees
Closest atoms and distances in Å follow each position.
Positions (direct):
Mo: 0.0000 0.5000 0.0000  2 N 2.05
Mo: 0.0000 0.0000 0.5000  2 N 2.05
Mo: 0.5000 0.0000 0.0000  2 N 2.05
O: 0.5000 0.5000 0.5000  12 Mo 2.90
N: 0.0000 0.0000 0.0000  6 Mo 2.05

## Properties
Its total energy is -5.785 eV/atom. Its energy above the most stable polymorph in this dataset is 0.0 meV/atom. The value obtained for the density of states at the Fermi level is 0.458 states/eV/atom. The calculation puts the spin magnetization at 0.0 μB/f.u.